First-principles (SCAN) data for ScZnPd3 at its PBEsol-relaxed geometry, as listed in Alexandria via LeMat-Bulk.

- total magnetic moment (μB per cell) = 0.000
- DFT formation energy (eV per atom) = 0.4821
- SG = Pm-3m

a = 4.6535 Å, b = 4.6535 Å, c = 4.6535 Å
α = 90.00°, β = 90.00°, γ = 90.00°
With the nearest neighbours (Å) after each atom.
Element x y z (fractional)
Sc  0.0000  0.0000  0.0000  6 Pd 2.33
Zn  0.5000  0.5000  0.5000  12 Pd 3.29
Pd  0.0000  0.0000  0.5000  2 Sc 2.33
Pd  0.0000  0.5000  0.0000  2 Sc 2.33
Pd  0.5000  0.0000  0.0000  2 Sc 2.33

First-principles (SCAN) data for TcPSe3 at its PBEsol-relaxed geometry, as listed in Alexandria via LeMat-Bulk.

- total magnetic moment (μB per cell) = 4.404
- SG = Pm-3m
- formation energy without anion corrections (eV/f.u.) = 4.47

a = 4.7357 Å, b = 4.7357 Å, c = 4.7357 Å
α = 90.00°, β = 90.00°, γ = 90.00°
With the nearest neighbours (Å) after each atom.
Element x y z (fractional)
Tc  0.0000  0.0000  0.0000  12 Se 3.35
P  0.5000  0.5000  0.5000  6 Se 2.37
Se  0.0000  0.5000  0.5000  2 P 2.37
Se  0.5000  0.0000  0.5000  2 P 2.37
Se  0.5000  0.5000  0.0000  2 P 2.37

First-principles (SCAN) data for Tl2P at its PBEsol-relaxed geometry, as listed in Alexandria via LeMat-Bulk.

- total magnetic moment (μB per cell) = 0.000
- DFT formation energy (eV per atom) = 0.0896
- ΔE to the lowest computed polymorph (kJ per mole of atoms) = 1.4
- SG = C2/m

a = 5.9232 Å, b = 5.9232 Å, c = 8.4099 Å
α = 110.02°, β = 110.02°, γ = 32.22°
With the nearest neighbours (Å) after each atom.
Element x y z (fractional)
Tl  0.0162  0.0162  0.2008  5 P 3.17-3.34, 8 Tl 3.26-3.52
Tl  0.3446  0.3446  0.4116  2 P 3.21, 10 Tl 3.29-3.52
Tl  0.6554  0.6554  0.5884  2 P 3.21, 10 Tl 3.29-3.52
Tl  0.9838  0.9838  0.7992  5 P 3.17-3.34, 8 Tl 3.26-3.52
P  0.2817  0.2817  0.9355  2 P 2.23
P  0.7183  0.7183  0.0645  2 P 2.23

First-principles (SCAN) data for LiCr2Ru at its PBEsol-relaxed geometry, as listed in Alexandria via LeMat-Bulk.

- total magnetic moment (μB per cell) = 0.000
- DFT formation energy (eV per atom) = 0.3968
- SG = I4/mmm

a = 4.7733 Å, b = 4.7733 Å, c = 4.7733 Å
α = 139.42°, β = 139.42°, γ = 58.74°
With the nearest neighbours (Å) after each atom.
Element x y z (fractional)
Li  0.0000  0.0000  0.0000  4 Ru 2.34
Cr  0.2500  0.7500  0.5000  4 Cr 2.34
Cr  0.7500  0.2500  0.5000  4 Cr 2.34
Ru  0.5000  0.5000  0.0000  4 Li 2.34

Question: total magnetic moment of number 1 (ScZnPd3)?
Answer: 0.000 μB per cell

Question: Number 1 is which compound?
Answer: ScZnPd3